The following is a DFT calculation (PBE-GGA) of a geometry-optimized TaTc2Hg structure.

The space group is P4/mmm (No. 123) and the conventional cell measures 3.241, 3.241 and 6.503 Å, with angles of 90.00, 90.00 and 90.00 degrees. The inequivalent atoms are Ta at (0.000, 0.000, 0.000), Tc at (0.500, 0.500, 0.223) and Hg at (0.000, 0.000, 0.500).

The calculation puts the total energy at -32.190 eV per cell. The value obtained for the formation energy is 0.174 eV/atom. The crystal system is tetragonal.